A plane-wave DFT calculation with GGA-PBE was carried out for a relaxed YGaSe2Br crystal.

Values from the calculation:
Energy above the lowest structure with this stoichiometry: 0.000 eV per atom
Formation energy from raw total energies: -0.81 eV per atom
SG: No. 123

```
YGaSe2Br
1.0
5.487 0.000 0.000
0.000 5.487 0.000
0.000 0.000 5.655
Se Br Ga Y
2 1 1 1
Direct
0.500 0.000 0.000
0.000 0.500 0.000
0.000 0.000 0.500
0.500 0.500 0.500
0.000 0.000 0.000
```